[1]
The following is a PBE-GGA calculation of a relaxed TmZnGaPd2 crystal, from Alexandria.

```
data_TmZnGaPd2
_chemical_formula_sum 'Tm4 Zn4 Ga4 Pd8'
_space_group_name_H-M_alt 'C m m e'
_space_group_IT_number 67
_space_group_name_Hall '-C 2a 2'
_cell_length_a 5.211
_cell_length_b 13.407
_cell_length_c 5.338
_cell_angle_alpha 90.00
_cell_angle_beta 90.00
_cell_angle_gamma 90.00
loop_
_atom_site_label
_atom_site_type_symbol
_atom_site_fract_x
_atom_site_fract_y
_atom_site_fract_z
Tm1 Tm 0.000 0.250 0.226
Zn1 Zn 0.000 0.000 0.000
Ga1 Ga 0.250 0.000 0.500
Pd1 Pd 0.000 0.148 0.706
```

The value obtained for the total magnetization is 0.0 Bohr magnetons per cell. The energy relative to the elements comes out at -0.5790 eV per atom. The total energy is -88.21 eV/cell.

[2]
The following is a PBE-GGA calculation of a relaxed NaErIrO6 crystal, from Alexandria.

```
data_NaErIrO6
_chemical_formula_sum 'Na2 Er2 Ir2 O12'
_space_group_name_H-M_alt 'P -3 1 c'
_space_group_IT_number 163
_space_group_name_Hall '-P 3 2c'
_cell_length_a 5.5504
_cell_length_b 5.5504
_cell_length_c 9.6296
_cell_angle_alpha 90.00
_cell_angle_beta 90.00
_cell_angle_gamma 120.00
loop_
_atom_site_label
_atom_site_type_symbol
_atom_site_fract_x
_atom_site_fract_y
_atom_site_fract_z
Na1 Na 0.0000 0.0000 0.0000
Er1 Er 0.3333 0.6667 0.2500
Ir1 Ir 0.3333 0.6667 0.7500
O1 O 0.0446 0.3911 0.6388
```

The value obtained for the total magnetization is 1.4 Bohr magnetons per cell. The value obtained for the formation energy (no corrections) is -13.02 eV per formula unit. The total energy is -115.03 eV/cell.

[3]
The following is a PBE-GGA calculation of a relaxed KLiBe2 crystal, from Alexandria.

```
data_KLiBe2
_chemical_formula_sum 'K2 Li2 Be4'
_space_group_name_H-M_alt 'P 1 m 1'
_space_group_IT_number 6
_space_group_name_Hall 'P -2y'
_cell_length_a 3.724
_cell_length_b 4.269
_cell_length_c 12.559
_cell_angle_alpha 90.00
_cell_angle_beta 98.03
_cell_angle_gamma 90.00
loop_
_atom_site_label
_atom_site_type_symbol
_atom_site_fract_x
_atom_site_fract_y
_atom_site_fract_z
K1 K 0.000 0.000 0.000
K2 K 0.314 0.500 0.674
Li1 Li 0.204 0.000 0.419
Li2 Li 0.689 0.500 0.388
Be1 Be 0.119 0.255 0.237
Be2 Be 0.604 0.500 0.205
Be3 Be 0.622 0.000 0.244
```

The value obtained for the total magnetization is 0.0 Bohr magnetons per cell. The energy relative to the elements comes out at 0.1767 eV per atom. The total energy is -19.51 eV/cell.

[4]
The following is a PBE-GGA calculation of a relaxed Rb2LiFeI6 crystal, from Alexandria.

```
data_Rb2LiFeI6
_chemical_formula_sum 'Rb4 Li2 Fe2 I12'
_space_group_name_H-M_alt 'I 4/m m m'
_space_group_IT_number 139
_space_group_name_Hall '-I 4 2'
_cell_length_a 8.029
_cell_length_b 8.029
_cell_length_c 11.414
_cell_angle_alpha 90.00
_cell_angle_beta 90.00
_cell_angle_gamma 90.00
loop_
_atom_site_label
_atom_site_type_symbol
_atom_site_fract_x
_atom_site_fract_y
_atom_site_fract_z
Rb1 Rb 0.000 0.500 0.250
Li1 Li 0.000 0.000 0.000
Fe1 Fe 0.000 0.000 0.500
I1 I 0.000 0.000 0.265
I2 I 0.235 0.235 0.500
```

The value obtained for the total magnetization is 0.1 Bohr magnetons per cell. The value obtained for the formation energy (no corrections) is -7.35 eV per formula unit. The total energy is -57.93 eV/cell.

Q: Among the records above, which one has the highest total magnetization?
A: NaErIrO6